# 1
Material: DyThRu4
Method: DFT, GGA-PBE
State: relaxed

Computed properties:
The formation energy from the elements is -0.301 eV per atom.

Geometry as extended XYZ:
```
6
Lattice="0.000 3.810 3.810 3.810 0.000 3.810 3.810 3.810 0.000" Properties=species:S:1:pos:R:3 pbc="T T T"
Dy 0.000 0.000 0.000
Th 1.905 1.905 1.905
Ru 4.764 2.856 2.856
Ru 2.856 4.764 2.856
Ru 2.856 2.856 4.764
Ru 4.764 4.764 4.764
```

***

# 2
Material: MgCoRu2
Method: DFT, GGA-PBE
State: relaxed

Computed properties:
The formation energy from the elements is 0.196 eV per atom.

Geometry as extended XYZ:
```
4
Lattice="2.691 0.000 0.000 0.000 2.691 0.000 0.000 0.000 7.685" Properties=species:S:1:pos:R:3 pbc="T T T"
Mg 0.000 0.000 0.000
Co 0.000 0.000 3.842
Ru 1.346 1.346 2.131
Ru 1.346 1.346 5.554
```

***

# 3
Material: H6AuN2F
Method: DFT, GGA-PBE
State: relaxed

Computed properties:
Its uncorrected energy is -4.783 eV/atom.

Geometry as extended XYZ:
```
20
Lattice="4.076 -4.445 0.000 4.076 4.445 0.000 -3.971 0.000 7.029" Properties=species:S:1:pos:R:3 pbc="T T T"
H 1.244 2.948 3.642
H -0.352 1.748 4.863
H -0.834 0.226 4.407
H 1.151 -0.226 0.892
H 0.953 2.948 6.902
H 1.633 -1.748 1.348
H 2.549 1.748 5.681
H 3.229 -2.948 0.128
H 3.031 0.226 6.137
H 5.016 -0.226 2.622
H 4.534 -1.748 2.166
H 2.939 -2.948 3.387
Au 3.084 3.135 1.757
Au 1.098 -3.135 5.272
N -1.121 1.210 4.395
N 0.864 -1.210 0.881
N 3.318 1.210 6.148
N 5.303 -1.210 2.634
F 1.098 2.506 5.272
F 3.084 -2.506 1.757
```

***

# 4
Material: U4CN3
Method: DFT, GGA-PBE
State: relaxed

Computed properties:
The calculation puts the uncorrected formation energy at -1.03 eV per atom.

Geometry as extended XYZ:
```
8
Lattice="4.888 0.000 0.000 0.000 4.888 0.000 0.000 0.000 4.888" Properties=species:S:1:pos:R:3 pbc="T T T"
U 0.000 0.000 0.000
U 0.000 2.444 2.444
U 2.444 0.000 2.444
U 2.444 2.444 0.000
C 2.444 2.444 2.444
N 0.000 0.000 2.444
N 0.000 2.444 0.000
N 2.444 0.000 0.000
```

***

# 5
Material: CsHPd
Method: DFT, GGA-PBE
State: relaxed

Computed properties:
As for the energy above the most stable polymorph in this dataset: 0.000 eV per atom.

Geometry as extended XYZ:
```
12
Lattice="6.148 0.000 0.000 0.000 5.569 0.000 -6.127 0.000 9.569" Properties=species:S:1:pos:R:3 pbc="T T T"
Cs -1.527 1.385 4.046
Cs -4.591 1.399 8.831
Cs 4.612 4.170 0.739
Cs 1.548 4.184 5.523
H -1.527 4.152 6.120
H 1.536 4.201 1.336
H -1.515 1.367 8.234
H 1.548 1.417 3.449
Pd 1.542 0.024 2.394
Pd -1.521 2.761 7.178
Pd 1.543 2.808 2.391
Pd -1.521 5.545 7.176
```

***

# 6
Material: Pr12TlCd6
Method: DFT, GGA-PBE
State: relaxed

Computed properties:
The formation energy from the elements is -0.153 eV per atom.

Geometry as extended XYZ:
```
19
Lattice="7.675 4.431 2.829 -7.675 4.431 2.829 0.000 -8.862 2.829" Properties=species:S:1:pos:R:3 pbc="T T T"
Pr -1.111 -1.773 1.424
Pr -0.980 1.849 1.424
Pr -3.334 -1.334 4.292
Pr 2.091 -0.075 1.424
Pr -0.511 -3.554 4.194
Pr -2.823 2.220 4.194
Pr 2.823 -2.220 4.292
Pr 0.511 3.554 4.292
Pr -2.091 0.075 7.062
Pr 3.334 1.334 4.194
Pr 0.980 -1.849 7.062
Pr 1.111 1.773 7.062
Tl 0.000 0.000 4.243
Cd -3.655 -4.787 4.198
Cd -5.973 0.772 4.289
Cd 2.318 -5.559 4.289
Cd -2.318 5.559 4.198
Cd 5.973 -0.772 4.198
Cd 3.655 4.787 4.289
```

***

# 7
Material: Hf2InGa2
Method: DFT, GGA-PBE
State: relaxed

Computed properties:
As for the energy above the most stable polymorph in this dataset: 0.000 eV per atom. The formation energy from the elements is -0.322 eV per atom.

Geometry as extended XYZ:
```
10
Lattice="6.955 0.000 0.000 0.000 6.955 0.000 0.000 0.000 3.968" Properties=species:S:1:pos:R:3 pbc="T T T"
Hf 1.220 2.257 0.000
Hf 2.257 5.735 0.000
Hf 4.697 1.220 0.000
Hf 5.735 4.697 0.000
In 0.000 0.000 1.984
In 3.477 3.477 1.984
Ga 0.866 4.343 1.984
Ga 2.611 0.866 1.984
Ga 4.343 6.089 1.984
Ga 6.089 2.611 1.984
```

***

# 8
Material: NbMo2PtC
Method: DFT, GGA-PBE
State: relaxed

Computed properties:
The formation energy from the elements is -0.195 eV per atom.

Geometry as extended XYZ:
```
5
Lattice="4.126 0.000 0.000 0.000 4.126 0.000 0.000 0.000 4.296" Properties=species:S:1:pos:R:3 pbc="T T T"
Nb 0.000 0.000 0.000
Mo 0.000 2.063 2.148
Mo 2.063 0.000 2.148
Pt 2.063 2.063 0.000
C 0.000 0.000 2.148
```